DFT (PBE) results for SrIn2Pt after structural relaxation.

a = 5.970 Å, b = 5.970 Å, c = 8.063 Å
α = 90.00°, β = 90.00°, γ = 135.77°
Positions (direct):
1 In 0.349 0.651 0.447
2 In 0.349 0.651 0.053
3 In 0.651 0.349 0.947
4 Sr 0.062 0.938 0.250
5 Pt 0.220 0.780 0.750
6 Sr 0.938 0.062 0.750
7 Pt 0.780 0.220 0.250
8 In 0.651 0.349 0.553

- total moment (μB/cell) = 0.00
- SG = Cmcm, No. 63
- crystal system = orthorhombic
- ΔE_f (meV/atom) = -681
- E (Ry per atom) = -0.293